1.
This record from Alexandria via LeMat-Bulk describes a relaxed structure of BeAlP2. The functional is PBE.

Cell lengths 5.020, 5.020, 5.020 Å; angles 144.23, 132.14, 61.17 degrees
Positions (direct):
Be 0.000 0.000 0.000
Al 0.688 0.188 0.500
P 0.212 0.712 0.500
P 0.424 0.424 0.000

Properties
* raw total energy: -4.2681 eV/atom
* total moment: 0.000 μB per atom
* energy above the lowest structure with this stoichiometry: 0.544 eV/atom
* space-group type: No. 44
* DFT formation energy: 304.1 meV per atom

2.
This record from Alexandria via LeMat-Bulk describes a relaxed structure of BeAl2P. The functional is PBE.

Cell lengths 4.825, 4.825, 4.360 Å; angles 108.13, 108.13, 36.06 degrees
Positions (direct):
Be 0.000 0.000 0.000
Al 0.245 0.245 0.832
Al 0.452 0.452 0.492
P 0.679 0.679 0.290

Properties
* raw total energy: -3.9890 eV/atom
* total moment: 0.000 μB per atom
* energy above the lowest structure with this stoichiometry: 0.108 eV/atom
* space-group type: No. 8
* DFT formation energy: 166.3 meV per atom

3.
This record from Alexandria via LeMat-Bulk describes a relaxed structure of BeAlP. The functional is PBE.

Cell lengths 3.443, 3.443, 4.183 Å; angles 90.00, 90.00, 120.00 degrees
Positions (direct):
Be 0.000 0.000 0.000
Al 0.333 0.667 0.418
P 0.667 0.333 0.819

Properties
* raw total energy: -4.3087 eV/atom
* total moment: 0.000 μB per atom
* energy above the lowest structure with this stoichiometry: 0.112 eV/atom
* space-group type: No. 156
* DFT formation energy: -15.8 meV per atom

4.
This record from Alexandria via LeMat-Bulk describes a relaxed structure of BeAlP. The functional is PBE.

Cell lengths 4.829, 3.590, 5.683 Å; angles 90.00, 112.97, 90.00 degrees
Positions (direct):
Be 0.124 0.250 0.173
Be 0.876 0.750 0.827
Al 0.330 0.750 0.579
Al 0.670 0.250 0.421
P 0.137 0.250 0.797
P 0.863 0.750 0.203

Properties
* raw total energy: -4.4077 eV/atom
* total moment: 0.000 μB per atom
* energy above the lowest structure with this stoichiometry: 0.013 eV/atom
* space-group type: No. 11
* DFT formation energy: -114.8 meV per atom

5.
This record from Alexandria via LeMat-Bulk describes a relaxed structure of BeAlP3. The functional is PBE.

Cell lengths 4.587, 4.587, 4.587 Å; angles 90.00, 90.00, 90.00 degrees
Positions (direct):
Be 0.000 0.000 0.000
Al 0.500 0.500 0.500
P 0.000 0.500 0.500
P 0.500 0.000 0.500
P 0.500 0.500 0.000

Properties
* raw total energy: -3.6111 eV/atom
* total moment: 0.000 μB per atom
* energy above the lowest structure with this stoichiometry: 0.492 eV/atom
* space-group type: No. 221
* DFT formation energy: 1128.5 meV per atom

6.
This record from Alexandria via LeMat-Bulk describes a relaxed structure of BeAlP. The functional is PBE.

Cell lengths 3.530, 3.530, 8.227 Å; angles 90.00, 90.00, 120.00 degrees
Positions (direct):
Be 0.000 0.000 0.000
Be 0.333 0.667 0.836
Al 0.000 0.000 0.306
Al 0.667 0.333 0.533
P 0.000 0.000 0.734
P 0.333 0.667 0.105

Properties
* raw total energy: -4.4101 eV/atom
* total moment: 0.000 μB per atom
* energy above the lowest structure with this stoichiometry: 0.011 eV/atom
* space-group type: No. 156
* DFT formation energy: -117.2 meV per atom

7.
This record from Alexandria via LeMat-Bulk describes a relaxed structure of BeAlP2. The functional is PBE.

Cell lengths 8.578, 8.578, 8.578 Å; angles 18.70, 18.70, 18.70 degrees
Positions (direct):
Be 0.000 0.000 0.000
Al 0.500 0.500 0.500
P 0.267 0.267 0.267
P 0.733 0.733 0.733

Properties
* raw total energy: -4.2558 eV/atom
* total moment: 0.000 μB per atom
* energy above the lowest structure with this stoichiometry: 0.556 eV/atom
* space-group type: No. 166
* DFT formation energy: 316.4 meV per atom

8.
This record from Alexandria via LeMat-Bulk describes a relaxed structure of BeAlP. The functional is PBE.

Cell lengths 3.540, 3.547, 8.358 Å; angles 100.31, 91.31, 119.88 degrees
Positions (direct):
Be 0.194 0.392 0.083
Be 0.806 0.608 0.917
Al 0.295 0.600 0.390
Al 0.705 0.400 0.610
P 0.104 0.207 0.812
P 0.896 0.793 0.188

Properties
* raw total energy: -4.4189 eV/atom
* total moment: 0.000 μB per atom
* energy above the lowest structure with this stoichiometry: 0.002 eV/atom
* space-group type: No. 2
* DFT formation energy: -126.0 meV per atom

Question: What is the total moment in the eighth record?
Answer: 0.000 μB per atom